Here is a relaxed structure of ScTa2Tc from Alexandria. Energies are from PBE.

a = 3.1904 Å, b = 3.1904 Å, c = 7.1404 Å
α = 90.00°, β = 90.00°, γ = 90.00°
With the nearest neighbours (Å) after each atom.
Space group P4mm (No. 99)
Inequivalent atoms, fractional coordinates:
Sc 0.0000 0.0000 0.0000  4 Tc 2.86, 4 Ta 3.08, 4 Sc 3.19
Ta 0.0000 0.0000 0.5502  4 Tc 2.68, 4 Ta 2.91
Ta 0.5000 0.5000 0.2936  8 Ta 2.91-3.19, 4 Sc 3.08
Tc 0.5000 0.5000 0.7528  4 Ta 2.68, 4 Sc 2.86

Magnetic moment in μB/f.u.: 0.00
Formation enthalpy at 0 K in eV per atom: -0.102
Final energy in eV per atom: -10.20
E above lowest polymorph in meV/atom: 50